Sr5AcS6 | GGA-PBE | relaxed

Structure (POSCAR):
```
Sr5AcS6
1.0
7.421 0.201 0.000
2.282 7.062 0.000
1.141 3.531 6.427
Ac S Sr
1 6 5
Cartesian
0.000 0.000 0.000 Ac
4.704 8.884 4.294 S
7.282 5.440 4.294 S
6.141 1.909 2.133 S
3.563 5.353 2.133 S
7.285 5.457 0.000 S
2.419 1.806 0.000 S
1.141 3.531 2.141 Sr
4.852 3.631 4.271 Sr
4.852 3.631 0.000 Sr
5.993 7.162 2.156 Sr
2.282 7.062 4.286 Sr
```

Properties
N(E_F)	0.196	states/eV per atom
total magnetization	0.00	μB/atom
energy relative to the elements, uncorrected	-2111	meV per atom
raw total energy	-62.62	eV/cell